The following is a DFT calculation (PBE-GGA) of a relaxed Tm4HgGeTe2 crystal.

abc: 7.2658 4.1645 7.5801
angles: 90.00 108.03 90.00
Space group P2/m (No. 10)
Symmetry-distinct sites (fractional):
Tm1 0.2311 0.0000 0.2241 [2 per cell]
Tm2 0.2463 0.5000 0.7644 [2 per cell]
Hg1 0.5000 0.0000 0.0000 [1 per cell]
Ge1 0.0000 0.5000 0.0000 [1 per cell]
Te1 0.0000 0.0000 0.5000 [1 per cell]
Te2 0.5000 0.5000 0.5000 [1 per cell]

## Properties
E_form (uncorrected) = -0.93 eV per atom
Total DFT energy (no corrections) = -4.569 eV/atom

=====

The following is a DFT calculation (PBE-GGA) of a relaxed Pr2Ge3Pd crystal.

abc: 8.5533 8.5783 14.8885
angles: 90.00 90.00 90.00
Space group Fmmm (No. 69)
Symmetry-distinct sites (fractional):
Pr1 0.2454 0.0000 0.0000 [8 per cell]
Pr2 0.2500 0.2500 0.2500 [8 per cell]
Ge1 0.0000 0.0000 0.1682 [8 per cell]
Ge2 0.0000 0.2471 0.4162 [16 per cell]
Pd1 0.0000 0.0000 0.3332 [8 per cell]

## Properties
Total DFT energy (no corrections) = -5.619 eV/atom
Energy of formation = -0.852 eV per atom
Energy relative to the lowest polymorph listed for this composition = 0 meV per atom

=====

The following is a DFT calculation (PBE-GGA) of a relaxed KBiSe2 crystal.

abc: 8.0543 4.5172 14.9663
angles: 90.00 90.00 90.00
Space group Pnma (No. 62)
Symmetry-distinct sites (fractional):
K1 0.0893 0.2500 0.1426 [4 per cell]
Bi1 0.0870 0.7500 0.3832 [4 per cell]
Se1 0.1587 0.2500 0.7554 [4 per cell]
Se2 0.2126 0.2500 0.4821 [4 per cell]

## Properties
E_form (uncorrected) = -0.69 eV per atom
Total DFT energy (no corrections) = -3.681 eV/atom

=====

The following is a DFT calculation (PBE-GGA) of a relaxed SnGe3Au6 crystal.

abc: 8.2206 14.2819 6.9375
angles: 90.00 90.00 90.00
Space group Cmc2_1 (No. 36)
Symmetry-distinct sites (fractional):
Sn1 0.0000 0.1804 0.0000 [4 per cell]
Ge1 0.0000 0.4381 0.2856 [4 per cell]
Ge2 0.2432 0.4012 0.9970 [8 per cell]
Au1 0.0000 0.0060 0.5810 [4 per cell]
Au2 0.0000 0.2149 0.6042 [4 per cell]
Au3 0.1782 0.4069 0.6265 [8 per cell]
Au4 0.1871 0.2769 0.2855 [8 per cell]

## Properties
Total DFT energy (no corrections) = -3.747 eV/atom
Energy of formation = 0.005 eV per atom

=====

The following is a DFT calculation (PBE-GGA) of a relaxed SrTcP2I crystal.

abc: 4.5626 4.5626 6.6114
angles: 90.00 90.00 90.00
Space group P4/mmm (No. 123)
Symmetry-distinct sites (fractional):
Sr1 0.0000 0.0000 0.0000 [1 per cell]
Tc1 0.0000 0.0000 0.5000 [1 per cell]
P1 0.0000 0.5000 0.5000 [2 per cell]
I1 0.5000 0.5000 0.0000 [1 per cell]

## Properties
E_form (uncorrected) = -0.36 eV per atom
Total DFT energy (no corrections) = -5.246 eV/atom

=====

The following is a DFT calculation (PBE-GGA) of a relaxed K2TeH2O6 crystal.

abc: 5.1311 5.1311 18.3490
angles: 90.00 90.00 120.00
Space group R-3m (No. 166, hexagonal axes)
Symmetry-distinct sites (fractional):
K1 0.0000 0.0000 0.2088 [6 per cell]
Te1 0.0000 0.0000 0.0000 [3 per cell]
H1 0.0000 0.0000 0.3902 [6 per cell]
O1 0.0128 0.5064 0.2674 [18 per cell]

## Properties
Total DFT energy (no corrections) = -4.603 eV/atom